# 1
This record from Alexandria via LeMat-Bulk describes a geometry-optimized Li3PrIn3 structure. The functional is PBE-GGA.

Geometry as POSCAR:
```
Li3PrIn3
1.0
-5.3832 2.8484 3.6555
-3.3047 -6.2875 0.0327
3.2488 -1.6759 6.0903
In Li Pr
6 6 2
direct
0.2500 0.0000 0.5000 In
0.5000 0.2500 0.0000 In
0.7500 0.0000 0.5000 In
0.0000 0.5000 0.2500 In
0.0000 0.5000 0.7500 In
0.5000 0.7500 0.0000 In
0.5000 0.0000 0.2500 Li
0.2500 0.5000 0.0000 Li
0.0000 0.7500 0.5000 Li
0.7500 0.5000 0.0000 Li
0.0000 0.2500 0.5000 Li
0.5000 0.0000 0.7500 Li
0.0000 0.0000 0.0000 Pr
0.5000 0.5000 0.5000 Pr
```

Computed properties:
SG   Pm-3n
D(E_F)   0.471 states/eV/atom
E   -2.549 eV per atom

---

# 2
This record from Alexandria via LeMat-Bulk describes a geometry-optimized LiPrPuIn structure. The functional is PBE-GGA.

Geometry as POSCAR:
```
LiPrPuIn
1.0
5.4004 0.0000 0.0000
2.7002 4.6769 0.0000
2.7002 1.5590 4.4094
In Pr Li Pu
1 1 1 1
direct
0.5000 0.5000 0.5000 In
0.2500 0.2500 0.2500 Pr
0.0000 0.0000 0.0000 Li
0.7500 0.7500 0.7500 Pu
```

Computed properties:
SG   F-43m
D(E_F)   2.516 states/eV/atom
E   -5.967 eV per atom

---

# 3
This record from Alexandria via LeMat-Bulk describes a geometry-optimized Li2PrInRh structure. The functional is PBE-GGA.

Geometry as POSCAR:
```
Li2PrInRh
1.0
3.9466 0.0000 0.0000
0.0000 4.1134 0.0000
-1.9733 -2.0567 6.5683
Pr Li Rh In
1 2 1 1
direct
0.4126 0.4126 0.8252 Pr
0.0471 0.0471 0.0942 Li
0.7075 0.2075 0.4150 Li
0.8501 0.8501 0.7001 Rh
0.1949 0.6949 0.3898 In
```

Computed properties:
SG   Imm2
D(E_F)   0.597 states/eV/atom
E   -4.093 eV per atom

---

# 4
This record from Alexandria via LeMat-Bulk describes a geometry-optimized LiPr2InS5 structure. The functional is PBE-GGA.

Geometry as POSCAR:
```
LiPr2InS5
1.0
4.0121 0.0000 0.0000
-2.0060 8.6034 0.0000
0.0000 0.0000 11.4720
In Li S Pr
2 2 10 4
direct
0.5833 0.1665 0.9752 In
0.4167 0.8335 0.4752 In
0.7745 0.5490 0.5157 Li
0.2255 0.4510 0.0157 Li
0.9650 0.9299 0.5771 S
0.6986 0.3972 0.1537 S
0.4917 0.9833 0.2834 S
0.6981 0.3963 0.8389 S
0.5083 0.0167 0.7834 S
0.6388 0.2775 0.4959 S
0.3014 0.6028 0.6537 S
0.3612 0.7225 0.9959 S
0.0350 0.0701 0.0771 S
0.3019 0.6037 0.3389 S
0.1240 0.2479 0.3030 Pr
0.1253 0.2505 0.6809 Pr
0.8747 0.7495 0.1809 Pr
0.8760 0.7521 0.8030 Pr
```

Computed properties:
SG   Cmc2_1
D(E_F)   0.000 states/eV/atom
Raw formation energy   -1.5123 eV per atom
E   -5.384 eV per atom

---

# 5
This record from Alexandria via LeMat-Bulk describes a geometry-optimized Li2PrInS4 structure. The functional is PBE-GGA.

Geometry as POSCAR:
```
Li2PrInS4
1.0
7.7817 0.0570 -0.1614
0.0515 7.7817 -0.1614
-3.9924 -3.9951 5.7073
Li In S Pr
4 2 8 2
direct
0.5000 0.0000 0.5000 Li
0.0000 0.0000 0.5000 Li
0.5000 0.0000 0.0000 Li
0.5000 0.5000 0.0000 Li
0.0000 0.0000 0.0000 In
0.5000 0.5000 0.5000 In
0.2608 0.2397 0.0194 S
0.2566 0.7639 0.5101 S
0.2603 0.2392 0.4806 S
0.7361 0.2434 0.9899 S
0.7434 0.2361 0.4899 S
0.2639 0.7566 0.0101 S
0.7392 0.7603 0.9806 S
0.7397 0.7608 0.5194 S
0.0000 0.5000 0.0000 Pr
0.0000 0.5000 0.5000 Pr
```

Computed properties:
SG   Imma
Raw formation energy   -1.2836 eV per atom
E   -4.766 eV per atom

---

# 6
This record from Alexandria via LeMat-Bulk describes a geometry-optimized LiPrSc2In4 structure. The functional is PBE-GGA.

Geometry as POSCAR:
```
LiPrSc2In4
1.0
-3.5778 -0.5689 -3.5870
1.2230 -2.0052 -4.5248
-2.5476 -8.7115 0.2999
In Pr Sc Li
4 1 2 1
direct
0.1298 0.1298 0.6107 In
0.8702 0.8702 0.3893 In
0.3827 0.3827 0.8518 In
0.6173 0.6173 0.1482 In
0.0000 0.0000 0.0000 Pr
0.7526 0.7526 0.7423 Sc
0.2474 0.2474 0.2577 Sc
0.5000 0.5000 0.5000 Li
```

Computed properties:
SG   R-3m
D(E_F)   0.560 states/eV/atom
E   -4.165 eV per atom

---

# 7
This record from Alexandria via LeMat-Bulk describes a geometry-optimized Li2Pr2ScIn5 structure. The functional is PBE-GGA.

Geometry as POSCAR:
```
Li2Pr2ScIn5
1.0
4.5014 0.0000 0.0000
0.0000 10.2559 0.0000
0.0000 0.0000 10.2559
Li In Pr Sc
4 10 4 2
direct
0.0000 0.6154 0.8846 Li
0.0000 0.3846 0.1154 Li
0.0000 0.8846 0.3846 Li
0.0000 0.1154 0.6154 Li
0.5000 0.7056 0.4365 In
0.5000 0.0000 0.5000 In
0.5000 0.0635 0.7944 In
0.5000 0.5000 0.0000 In
0.5000 0.2056 0.0635 In
0.5000 0.9365 0.2056 In
0.5000 0.4365 0.2944 In
0.5000 0.7944 0.9365 In
0.5000 0.2944 0.5635 In
0.5000 0.5635 0.7056 In
0.0000 0.6799 0.1799 Pr
0.0000 0.1799 0.3201 Pr
0.0000 0.8201 0.6799 Pr
0.0000 0.3201 0.8201 Pr
0.0000 0.5000 0.5000 Sc
0.0000 0.0000 0.0000 Sc
```

Computed properties:
SG   P4/mbm
D(E_F)   0.484 states/eV/atom
E   -3.756 eV per atom

---

# 8
This record from Alexandria via LeMat-Bulk describes a geometry-optimized Li2PrSm2In2 structure. The functional is PBE-GGA.

Geometry as POSCAR:
```
Li2PrSm2In2
1.0
4.9625 0.0000 0.0000
2.4812 4.2976 0.0000
2.4812 1.4325 8.9162
Li Sm In Pr
2 2 2 1
direct
0.6021 0.6021 0.1937 Li
0.3979 0.3979 0.8063 Li
0.1279 0.1279 0.6163 Sm
0.8721 0.8721 0.3837 Sm
0.2614 0.2614 0.2157 In
0.7386 0.7386 0.7843 In
0.0000 0.0000 0.0000 Pr
```

Computed properties:
SG   R-3m
D(E_F)   0.842 states/eV/atom
E   -3.607 eV per atom

---

# 9
This record from Alexandria via LeMat-Bulk describes a geometry-optimized Li2Pr2SmIn2 structure. The functional is PBE-GGA.

Geometry as POSCAR:
```
Li2Pr2SmIn2
1.0
-4.7244 1.3922 0.5706
-2.1701 -0.3564 4.4438
0.3865 8.6453 3.6482
Sm In Pr Li
1 2 2 2
direct
0.0000 0.0000 0.0000 Sm
0.2655 0.2655 0.2035 In
0.7345 0.7345 0.7965 In
0.1275 0.1275 0.6174 Pr
0.8725 0.8725 0.3826 Pr
0.3914 0.3914 0.8258 Li
0.6086 0.6086 0.1742 Li
```

Computed properties:
SG   R-3m
D(E_F)   0.831 states/eV/atom
E   -3.623 eV per atom

---

# 10
This record from Alexandria via LeMat-Bulk describes a geometry-optimized LiPrSmIn structure. The functional is PBE-GGA.

Geometry as POSCAR:
```
LiPrSmIn
1.0
5.4273 0.0000 0.0000
2.7137 4.7002 0.0000
2.7137 1.5667 4.4314
Pr Sm Li In
1 1 1 1
direct
0.7500 0.7500 0.7500 Pr
0.2500 0.2500 0.2500 Sm
0.0000 0.0000 0.0000 Li
0.5000 0.5000 0.5000 In
```

Computed properties:
SG   F-43m
D(E_F)   1.180 states/eV/atom
E   -3.802 eV per atom